Record 1
# CoOsRh

An optimized crystal structure of CoOsRh (PBEsol, the Alexandria database).

## Properties
space group	No. 156
energy of formation from the pure elements	12.5	kJ/mol of atoms

Cell: 2.644 2.644 6.322 Å, 90.00 90.00 120.00°
Fractional coordinates of all 3 atoms:
Co: 0.000 0.000 0.000
Os: 0.333 0.667 0.681
Rh: 0.667 0.333 0.331

---

Record 2
# CoOsRh

An optimized crystal structure of CoOsRh (PBEsol, the Alexandria database).

## Properties
space group	No. 44
energy of formation from the pure elements	5.9	kJ/mol of atoms

Cell: 2.629 3.650 7.808 Å, 90.00 90.00 90.00°
Fractional coordinates of all 6 atoms:
Co: 0.000 0.000 0.000
Co: 0.500 0.500 0.500
Os: 0.000 0.000 0.656
Os: 0.500 0.500 0.156
Rh: 0.000 0.000 0.329
Rh: 0.500 0.500 0.829

---

Record 3
# CoOsRh

An optimized crystal structure of CoOsRh (PBEsol, the Alexandria database).

## Properties
space group	No. 216
energy of formation from the pure elements	66.9	kJ/mol of atoms

Cell: 5.539 5.539 5.539 Å, 90.00 90.00 90.00°
Fractional coordinates of all 12 atoms:
Co: 0.000 0.000 0.000
Co: 0.000 0.500 0.500
Co: 0.500 0.000 0.500
Co: 0.500 0.500 0.000
Os: 0.250 0.250 0.250
Os: 0.250 0.750 0.750
Os: 0.750 0.250 0.750
Os: 0.750 0.750 0.250
Rh: 0.250 0.250 0.750
Rh: 0.250 0.750 0.250
Rh: 0.750 0.250 0.250
Rh: 0.750 0.750 0.750

---

Record 4
# CoOs2Rh

An optimized crystal structure of CoOs2Rh (PBEsol, the Alexandria database).

## Properties
space group	No. 123
energy of formation from the pure elements	14.2	kJ/mol of atoms

Cell: 2.633 2.633 7.428 Å, 90.00 90.00 90.00°
Fractional coordinates of all 4 atoms:
Co: 0.000 0.000 0.000
Os: 0.500 0.500 0.237
Os: 0.500 0.500 0.763
Rh: 0.000 0.000 0.500

---

Record 5
# CoOsRu2

An optimized crystal structure of CoOsRu2 (PBEsol, the Alexandria database).

## Properties
space group	No. 8
energy of formation from the pure elements	15.1	kJ/mol of atoms

Cell: 8.659 2.633 4.543 Å, 90.00 99.96 90.00°
Fractional coordinates of all 8 atoms:
Co: 0.000 0.000 0.000
Co: 0.500 0.500 0.000
Os: 0.252 0.000 0.759
Os: 0.752 0.500 0.759
Ru: 0.001 0.500 0.501
Ru: 0.250 0.500 0.245
Ru: 0.501 0.000 0.501
Ru: 0.750 0.000 0.245

---

Record 6
# CoOsRu2

An optimized crystal structure of CoOsRu2 (PBEsol, the Alexandria database).

## Properties
space group	No. 225
energy of formation from the pure elements	53.0	kJ/mol of atoms

Cell: 5.948 5.948 5.948 Å, 90.00 90.00 90.00°
Fractional coordinates of all 16 atoms:
Co: 0.000 0.000 0.000
Co: 0.000 0.500 0.500
Co: 0.500 0.000 0.500
Co: 0.500 0.500 0.000
Os: 0.000 0.000 0.500
Os: 0.000 0.500 0.000
Os: 0.500 0.000 0.000
Os: 0.500 0.500 0.500
Ru: 0.250 0.250 0.250
Ru: 0.250 0.250 0.750
Ru: 0.250 0.750 0.250
Ru: 0.250 0.750 0.750
Ru: 0.750 0.250 0.250
Ru: 0.750 0.250 0.750
Ru: 0.750 0.750 0.250
Ru: 0.750 0.750 0.750

---

Which of these has the lowest energy of formation from the pure elements?
number 2